This record from the Alexandria database describes TcAgIr2 after structural relaxation. The functional is PBE.

The structure belongs to space group Fm-3m (No. 225); the cell edges are 6.292, 6.292 and 6.292 Å and the angles 90.00°, 90.00° and 90.00°. The distinct sites, in fractional coordinates, are Tc at (0.000, 0.000, 0.000), Ag at (0.000, 0.000, 0.500) and Ir at (0.250, 0.250, 0.250).

As for the formation energy: 0.5444 eV/atom. The uncorrected energy comes out at -0.528 Ry/atom. As for the total moment: 0.526 μB/atom.



This record from the Alexandria database describes Tc3AgIr after structural relaxation. The functional is PBE.

The structure belongs to space group Pm-3m (No. 221); the cell edges are 4.716, 4.716 and 4.716 Å and the angles 90.00°, 90.00° and 90.00°. The distinct sites, in fractional coordinates, are Tc at (0.000, 0.000, 0.500), Ag at (0.500, 0.500, 0.500) and Ir at (0.000, 0.000, 0.000).

As for the formation energy: 1.7363 eV/atom. The uncorrected energy comes out at -0.502 Ry/atom. As for the total moment: 0.548 μB/atom.



This record from the Alexandria database describes TcAgIr2 after structural relaxation. The functional is PBE.

The structure belongs to space group Cmm2 (No. 35); the cell edges are 2.757, 4.688 and 9.638 Å and the angles 90.00°, 90.00° and 90.00°. The distinct sites, in fractional coordinates, are Tc at (0.000, 0.000, 0.000), Ag at (0.000, 0.500, 0.264), Ir at (0.000, 0.000, 0.523) and Ir at (0.000, 0.500, 0.766).

As for the formation energy: 0.4013 eV/atom. The uncorrected energy comes out at -0.539 Ry/atom. As for the total moment: 0.000 μB/atom.



This record from the Alexandria database describes TcAg3Ir after structural relaxation. The functional is PBE.

The structure belongs to space group Pm-3m (No. 221); the cell edges are 5.009, 5.009 and 5.009 Å and the angles 90.00°, 90.00° and 90.00°. The distinct sites, in fractional coordinates, are Tc at (0.000, 0.000, 0.000), Ag at (0.000, 0.500, 0.500) and Ir at (0.500, 0.500, 0.500).

As for the formation energy: 1.7714 eV/atom. The uncorrected energy comes out at -0.278 Ry/atom. As for the total moment: 1.007 μB/atom.



This record from the Alexandria database describes TcAgIr2 after structural relaxation. The functional is PBE.

The structure belongs to space group Pmmm (No. 47); the cell edges are 2.773, 3.850 and 5.672 Å and the angles 90.00°, 90.00° and 90.00°. The distinct sites, in fractional coordinates, are Tc at (0.000, 0.000, 0.000), Ag at (0.000, 0.000, 0.500) and Ir at (0.500, 0.500, 0.235).

As for the formation energy: 0.1872 eV/atom. The uncorrected energy comes out at -0.555 Ry/atom. As for the total moment: 0.000 μB/atom.



This record from the Alexandria database describes TcAgIr2 after structural relaxation. The functional is PBE.

The structure belongs to space group Imm2 (No. 44); the cell edges are 2.747, 4.627 and 10.015 Å and the angles 90.00°, 90.00° and 90.00°. The distinct sites, in fractional coordinates, are Tc at (0.000, 0.000, 0.000), Ag at (0.000, 0.500, 0.779), Ir at (0.000, 0.000, 0.556) and Ir at (0.000, 0.500, 0.285).

As for the formation energy: 0.3601 eV/atom. The uncorrected energy comes out at -0.542 Ry/atom. As for the total moment: 0.000 μB/atom.



This record from the Alexandria database describes TcAgIr after structural relaxation. The functional is PBE.

The structure belongs to space group P3m1 (No. 156); the cell edges are 2.7632, 2.7632 and 7.0567 Å and the angles 90.00°, 90.00° and 120.00°. The distinct sites, in fractional coordinates, are Tc at (0.0000, 0.0000, 0.0000), Ag at (0.6667, 0.3333, 0.3510) and Ir at (0.3333, 0.6667, 0.7037).

As for the formation energy: 0.1721 eV/atom. The uncorrected energy comes out at -0.528 Ry/atom. As for the total moment: 0.000 μB/atom.



This record from the Alexandria database describes Tc2AgIr2 after structural relaxation. The functional is PBE.

The structure belongs to space group P4/mbm (No. 127); the cell edges are 7.667, 7.667 and 2.726 Å and the angles 90.00°, 90.00° and 90.00°. The distinct sites, in fractional coordinates, are Tc at (0.121, 0.379, 0.000), Ag at (0.000, 0.000, 0.000) and Ir at (0.168, 0.668, 0.500).

As for the formation energy: 0.1646 eV/atom. The uncorrected energy comes out at -0.595 Ry/atom. As for the total moment: 0.000 μB/atom.



This record from the Alexandria database describes TcAgIr2 after structural relaxation. The functional is PBE.

The structure belongs to space group P4/mmm (No. 123); the cell edges are 3.975, 3.975 and 3.867 Å and the angles 90.00°, 90.00° and 90.00°. The distinct sites, in fractional coordinates, are Tc at (0.000, 0.000, 0.000), Ag at (0.500, 0.500, 0.000) and Ir at (0.000, 0.500, 0.500).

As for the formation energy: 0.4624 eV/atom. The uncorrected energy comes out at -0.535 Ry/atom. As for the total moment: 0.404 μB/atom.



This record from the Alexandria database describes TcAgIr2 after structural relaxation. The functional is PBE.

The structure belongs to space group R-3m (No. 166, hexagonal axes); the cell edges are 2.7740, 2.7740 and 27.5014 Å and the angles 90.00°, 90.00° and 120.00°. The distinct sites, in fractional coordinates, are Tc at (0.0000, 0.0000, 0.0000), Ag at (0.0000, 0.0000, 0.5000) and Ir at (0.0000, 0.0000, 0.2558).

As for the formation energy: 0.0773 eV/atom. The uncorrected energy comes out at -0.563 Ry/atom. As for the total moment: 0.000 μB/atom.



This record from the Alexandria database describes TcAgIr after structural relaxation. The functional is PBE.

The structure belongs to space group I4mm (No. 107); the cell edges are 2.796, 2.796 and 12.036 Å and the angles 90.00°, 90.00° and 90.00°. The distinct sites, in fractional coordinates, are Tc at (0.000, 0.000, 0.000), Ag at (0.000, 0.000, 0.679) and Ir at (0.000, 0.000, 0.360).

As for the formation energy: 0.1944 eV/atom. The uncorrected energy comes out at -0.527 Ry/atom. As for the total moment: 0.000 μB/atom.



This record from the Alexandria database describes TcAgIr2 after structural relaxation. The functional is PBE.

The structure belongs to space group I4/mmm (No. 139); the cell edges are 3.925, 3.925 and 7.838 Å and the angles 90.00°, 90.00° and 90.00°. The distinct sites, in fractional coordinates, are Tc at (0.000, 0.000, 0.000), Ag at (0.000, 0.000, 0.500) and Ir at (0.000, 0.500, 0.250).

As for the formation energy: 0.3124 eV/atom. The uncorrected energy comes out at -0.546 Ry/atom. As for the total moment: 0.133 μB/atom.



This record from the Alexandria database describes TcAgIr2 after structural relaxation. The functional is PBE.

The structure belongs to space group I-4m2 (No. 119); the cell edges are 3.873, 3.873 and 8.060 Å and the angles 90.00°, 90.00° and 90.00°. The distinct sites, in fractional coordinates, are Tc at (0.000, 0.000, 0.000), Ag at (0.000, 0.500, 0.750), Ir at (0.000, 0.000, 0.500) and Ir at (0.000, 0.500, 0.250).

As for the formation energy: 0.3676 eV/atom. The uncorrected energy comes out at -0.541 Ry/atom. As for the total moment: 0.000 μB/atom.



This record from the Alexandria database describes TcAgIr2 after structural relaxation. The functional is PBE.

The structure belongs to space group P2/m (No. 10); the cell edges are 4.857, 2.736 and 4.869 Å and the angles 90.00°, 110.96° and 90.00°. The distinct sites, in fractional coordinates, are Tc at (0.000, 0.000, 0.000), Ag at (0.500, 0.500, 0.000), Ir at (0.000, 0.500, 0.500) and Ir at (0.500, 0.000, 0.500).

As for the formation energy: 0.3701 eV/atom. The uncorrected energy comes out at -0.541 Ry/atom. As for the total moment: 0.000 μB/atom.



no.,DOS(E_F) (states/eV per cell)
1,16.414
2,6.429
3,11.712
4,4.583
5,3.512
6,5.835
7,3.178
8,7.624
9,6.050
10,20.518
11,4.637
12,8.298
13,9.019
14,5.506